[1]
Here is FePW2 after structural relaxation from Alexandria. Energies are from PBE.

Unit cell a=3.631 b=3.631 c=8.361 alpha=90.00 beta=90.00 gamma=90.00
Space group I-4m2 (No. 119)
Asymmetric unit:
Fe: 0.000 0.000 0.000
P: 0.000 0.500 0.750
W: 0.000 0.000 0.500
W: 0.000 0.500 0.250

***

[2]
Here is FePW2 after structural relaxation from Alexandria. Energies are from PBE.

Unit cell a=3.165 b=3.965 c=4.383 alpha=90.00 beta=90.00 gamma=90.00
Space group Pmmm (No. 47)
Asymmetric unit:
Fe: 0.000 0.000 0.000
P: 0.500 0.000 0.500
W: 0.000 0.500 0.500
W: 0.500 0.500 0.000

***

no.,ΔH_f (0 K) (meV per atom),uncorrected energy (eV per atom)
1,240,-9.71
2,206,-9.74